No. 1
## Ac3PuTl12 (PBE)

Data for a geometry-optimized Ac3PuTl12 structure.

## Properties
- total DFT energy (no corrections) (eV per atom) = -3.674
- symmetry = P4/mmm, No. 123
- total magnetization (μB per formula unit) = 5.9

Lattice parameters (Å, degrees): 4.9646 4.9646 19.7546 90.00 90.00 90.00
Closest atoms and distances in Å follow each position.
Positions (direct):
Ac 0.0000 0.0000 0.0000  12 Tl 3.51-3.55
Ac 0.0000 0.0000 0.2571  12 Tl 3.51-3.55
Ac 0.0000 0.0000 0.7429  12 Tl 3.51-3.55
Pu 0.0000 0.0000 0.5000  12 Tl 3.37-3.51
Tl 0.0000 0.5000 0.1283  8 Tl 3.48-3.55, 4 Ac 3.55
Tl 0.0000 0.5000 0.3843  8 Tl 3.37-3.60, 2 Pu 3.37, 2 Ac 3.53
Tl 0.0000 0.5000 0.6157  8 Tl 3.37-3.60, 2 Pu 3.37, 2 Ac 3.53
Tl 0.0000 0.5000 0.8717  8 Tl 3.48-3.55, 4 Ac 3.55
Tl 0.5000 0.0000 0.1283  8 Tl 3.48-3.55, 4 Ac 3.55
Tl 0.5000 0.0000 0.3843  8 Tl 3.37-3.60, 2 Pu 3.37, 2 Ac 3.53
Tl 0.5000 0.0000 0.6157  8 Tl 3.37-3.60, 2 Pu 3.37, 2 Ac 3.53
Tl 0.5000 0.0000 0.8717  8 Tl 3.48-3.55, 4 Ac 3.55
Tl 0.5000 0.5000 0.0000  4 Ac 3.51, 8 Tl 3.55
Tl 0.5000 0.5000 0.2521  8 Tl 3.48-3.60, 4 Ac 3.51
Tl 0.5000 0.5000 0.5000  8 Tl 3.37, 4 Pu 3.51
Tl 0.5000 0.5000 0.7479  8 Tl 3.48-3.60, 4 Ac 3.51

No. 2
## AcPuTl (PBE)

Data for a geometry-optimized AcPuTl structure.

## Properties
- total DFT energy (no corrections) (eV per atom) = -6.936
- symmetry = I4mm, No. 107
- total magnetization (μB per formula unit) = 6.6

Lattice parameters (Å, degrees): 6.9711 6.9711 6.9711 146.97 146.97 47.41
Closest atoms and distances in Å follow each position.
Positions (direct):
Ac 0.0000 0.0000 0.0000  4 Tl 3.56, 5 Pu 3.73-3.92, 4 Ac 3.96
Pu 0.3070 0.3070 0.0000  4 Tl 3.29
Tl 0.6724 0.6724 0.0000  4 Pu 3.29, 4 Ac 3.56

No. 3
## AcPuTl3 (PBE)

Data for a geometry-optimized AcPuTl3 structure.

## Properties
- total DFT energy (no corrections) (eV per atom) = -5.187
- symmetry = P6_3/mmc, No. 194
- total magnetization (μB per formula unit) = 5.7

Lattice parameters (Å, degrees): 7.7757 7.7757 6.2379 90.00 90.00 120.00
Closest atoms and distances in Å follow each position.
Positions (direct):
Ac 0.3333 0.6667 0.2500  12 Tl 3.60-3.91
Ac 0.6667 0.3333 0.7500  12 Tl 3.60-3.91
Pu 0.0000 0.0000 0.0000  6 Tl 3.12, 2 Pu 3.12
Pu 0.0000 0.0000 0.5000  6 Tl 3.12, 2 Pu 3.12
Tl 0.2003 0.4007 0.7500  2 Tl 3.10, 2 Pu 3.12
Tl 0.2003 0.7997 0.7500  2 Tl 3.10, 2 Pu 3.12
Tl 0.4007 0.2003 0.2500  2 Tl 3.10, 2 Pu 3.12
Tl 0.5993 0.7997 0.7500  2 Tl 3.10, 2 Pu 3.12
Tl 0.7997 0.2003 0.2500  2 Tl 3.10, 2 Pu 3.12
Tl 0.7997 0.5993 0.2500  2 Tl 3.10, 2 Pu 3.12

No. 4
## Ac2PuTl3 (PBE)

Data for a geometry-optimized Ac2PuTl3 structure.

## Properties
- total DFT energy (no corrections) (eV per atom) = -4.936
- symmetry = Immm, No. 71
- total magnetization (μB per formula unit) = 6.7

Lattice parameters (Å, degrees): 10.1864 10.1864 10.1864 158.71 145.18 41.18
Closest atoms and distances in Å follow each position.
Positions (direct):
Ac 0.1490 0.1490 0.0000  7 Tl 3.41-3.61, 2 Ac 3.76
Ac 0.8510 0.8510 0.0000  7 Tl 3.41-3.61, 2 Ac 3.76
Pu 0.5000 0.5000 0.0000  4 Tl 3.05-3.26
Tl 0.0000 0.5000 0.5000  2 Pu 3.05, 4 Ac 3.41
Tl 0.3291 0.3291 0.0000  1 Pu 3.26, 5 Ac 3.43-3.61
Tl 0.6709 0.6709 0.0000  1 Pu 3.26, 5 Ac 3.43-3.61

No. 5
## AcYPuTl (PBE)

Data for a geometry-optimized AcYPuTl structure.

## Properties
- total DFT energy (no corrections) (eV per atom) = -6.672
- symmetry = F-43m, No. 216
- total magnetization (μB per formula unit) = 7.2

Lattice parameters (Å, degrees): 5.6102 5.6102 5.6102 60.00 60.00 60.00
Closest atoms and distances in Å follow each position.
Positions (direct):
Ac 0.0000 0.0000 0.0000  4 Pu 3.44, 4 Y 3.44
Y 0.2500 0.2500 0.2500  4 Tl 3.44, 4 Ac 3.44
Pu 0.7500 0.7500 0.7500  4 Ac 3.44, 4 Tl 3.44
Tl 0.5000 0.5000 0.5000  4 Pu 3.44, 4 Y 3.44

No. 6
## Ac2TmPu (PBE)

Data for a geometry-optimized Ac2TmPu structure.

## Properties
- total DFT energy (no corrections) (eV per atom) = -6.400
- symmetry = R-3m, No. 166
- total magnetization (μB per formula unit) = 6.8

Lattice parameters (Å, degrees): 13.0798 13.0798 13.0798 16.22 16.22 16.22
Closest atoms and distances in Å follow each position.
Positions (direct):
Ac 0.0892 0.0892 0.0892  1 Pu 3.45, 3 Tm 3.68, 6 Ac 3.69
Ac 0.9108 0.9108 0.9108  1 Pu 3.45, 3 Tm 3.68, 6 Ac 3.69
Tm 0.5000 0.5000 0.5000  6 Ac 3.68, 6 Tm 3.69
Pu 0.0000 0.0000 0.0000  2 Ac 3.45, 6 Pu 3.69

No. 7
## Ac2TmPu (PBE)

Data for a geometry-optimized Ac2TmPu structure.

## Properties
- total DFT energy (no corrections) (eV per atom) = -6.552
- symmetry = P4/mmm, No. 123
- total magnetization (μB per formula unit) = 6.5

Lattice parameters (Å, degrees): 5.3637 5.3637 5.0280 90.00 90.00 90.00
Closest atoms and distances in Å follow each position.
Positions (direct):
Ac 0.0000 0.5000 0.0000  4 Tm 3.68, 4 Pu 3.68, 4 Ac 3.79
Ac 0.5000 0.0000 0.0000  4 Tm 3.68, 4 Pu 3.68, 4 Ac 3.79
Tm 0.0000 0.0000 0.5000  8 Ac 3.68, 4 Pu 3.79
Pu 0.5000 0.5000 0.5000  8 Ac 3.68, 4 Tm 3.79

No. 8
## Ac2TmPu (PBE)

Data for a geometry-optimized Ac2TmPu structure.

## Properties
- total DFT energy (no corrections) (eV per atom) = -6.588
- symmetry = P4/mmm, No. 123
- total magnetization (μB per formula unit) = 6.1

Lattice parameters (Å, degrees): 3.7742 3.7742 10.2719 90.00 90.00 90.00
Closest atoms and distances in Å follow each position.
Positions (direct):
Ac 0.0000 0.0000 0.2495  4 Tm 3.70, 4 Pu 3.71, 4 Ac 3.77
Ac 0.0000 0.0000 0.7505  4 Tm 3.70, 4 Pu 3.71, 4 Ac 3.77
Tm 0.5000 0.5000 0.0000  8 Ac 3.70, 4 Tm 3.77
Pu 0.5000 0.5000 0.5000  8 Ac 3.71, 4 Pu 3.77

No. 9
## AcYPu (PBE)

Data for a geometry-optimized AcYPu structure.

## Properties
- total DFT energy (no corrections) (eV per atom) = -8.079
- symmetry = C2/m, No. 12
- total magnetization (μB per formula unit) = 6.6

Lattice parameters (Å, degrees): 6.6367 6.6367 7.1030 118.60 118.60 51.43
Closest atoms and distances in Å follow each position.
Positions (direct):
Ac 0.1839 0.1839 0.1135  4 Pu 3.57-3.59, 6 Y 3.65-3.91, 1 Ac 3.80
Ac 0.8161 0.8161 0.8865  4 Pu 3.57-3.59, 6 Y 3.65-3.91, 1 Ac 3.80
Y 0.4706 0.4706 0.7247  3 Pu 3.40-3.53, 2 Y 3.59-3.62, 1 Ac 3.65
Y 0.5294 0.5294 0.2753  3 Pu 3.40-3.53, 2 Y 3.59-3.62, 1 Ac 3.65
Pu 0.1379 0.1379 0.5736  1 Pu 2.88
Pu 0.8621 0.8621 0.4264  1 Pu 2.88

No. 10
## AcY2Pu (PBE)

Data for a geometry-optimized AcY2Pu structure.

## Properties
- total DFT energy (no corrections) (eV per atom) = -7.562
- symmetry = R-3m, No. 166
- total magnetization (μB per formula unit) = 6.2

Lattice parameters (Å, degrees): 12.7787 12.7787 12.7787 16.01 16.01 16.01
Closest atoms and distances in Å follow each position.
Positions (direct):
Ac 0.0000 0.0000 0.0000  2 Y 3.55, 6 Ac 3.56
Y 0.0938 0.0938 0.0938  3 Pu 3.44, 1 Ac 3.55, 6 Y 3.56
Y 0.9062 0.9062 0.9062  3 Pu 3.44, 1 Ac 3.55, 6 Y 3.56
Pu 0.5000 0.5000 0.5000  6 Y 3.44, 6 Pu 3.56

No. 11
## AcY2Pu (PBE)

Data for a geometry-optimized AcY2Pu structure.

## Properties
- total DFT energy (no corrections) (eV per atom) = -7.693
- symmetry = P4/mmm, No. 123
- total magnetization (μB per formula unit) = 6.7

Lattice parameters (Å, degrees): 3.6765 3.6765 10.0943 90.00 90.00 90.00
Closest atoms and distances in Å follow each position.
Positions (direct):
Ac 0.0000 0.0000 0.0000  4 Ac 3.68, 8 Y 3.78
Y 0.5000 0.5000 0.2714  4 Pu 3.48, 4 Y 3.68, 4 Ac 3.78
Y 0.5000 0.5000 0.7286  4 Pu 3.48, 4 Y 3.68, 4 Ac 3.78
Pu 0.0000 0.0000 0.5000  8 Y 3.48, 4 Pu 3.68

No. 12
## AcYPu (PBE)

Data for a geometry-optimized AcYPu structure.

## Properties
- total DFT energy (no corrections) (eV per atom) = -8.121
- symmetry = I4mm, No. 107
- total magnetization (μB per formula unit) = 6.3

Lattice parameters (Å, degrees): 8.0116 8.0116 8.0116 153.20 153.20 38.26
Closest atoms and distances in Å follow each position.
Positions (direct):
Ac 0.0000 0.0000 0.0000  4 Pu 3.68, 4 Ac 3.71, 4 Y 3.75
Y 0.6768 0.6768 0.0000  4 Pu 3.50, 4 Y 3.71, 4 Ac 3.75
Pu 0.3297 0.3297 0.0000  4 Y 3.50, 4 Ac 3.68, 4 Pu 3.71

ΔE_f across the listed records, respectively: -3.73, 0.00, -0.40, 0.03, 0.58, 1.42, 0.81, 0.67, 0.67, 1.12, 0.60, 0.54 eV/f.u..